(1)
First-principles (PBE-GGA) data for a geometry-optimized MgZn2Cl structure, as listed in Alexandria.

Cell: 4.941 4.941 4.941 Å, 60.00 60.00 60.00°
Element x y z (fractional)
Cl: 0.500 0.500 0.500
Mg: 0.250 0.250 0.250
Zn: 0.000 0.000 0.000
Zn: 0.750 0.750 0.750

The value obtained for the formation energy without anion corrections is 0.01 eV per atom. The excess energy over the best structure of this formula in the dataset comes out at 404.7 meV/atom. As for the space group: No. 216. Its crystal system is cubic. As for the mass density: 3.71 g cm⁻³.


(2)
First-principles (PBE-GGA) data for a geometry-optimized TbSmGeRu structure, as listed in Alexandria.

Cell: 4.995 4.995 4.995 Å, 60.00 60.00 60.00°
Element x y z (fractional)
Ru: 0.500 0.500 0.500
Ge: 0.000 0.000 0.000
Tb: 0.250 0.250 0.250
Sm: 0.750 0.750 0.750

The excess energy over the best structure of this formula in the dataset comes out at 176.9 meV/atom. For the formation energy, the calculation gives -40.29 kJ per mole of atoms. As for the space group: No. 216. Its crystal system is cubic. As for the mass density: 9.10 g cm⁻³.


(3)
First-principles (PBE-GGA) data for a geometry-optimized PrHo8In6 structure, as listed in Alexandria.

Cell: 9.067 9.067 8.314 Å, 56.96 56.96 60.00°
Element x y z (fractional)
Pr: 0.000 0.000 0.000
Ho: 0.556 0.219 0.339
Ho: 0.781 0.114 0.661
Ho: 0.114 0.444 0.661
Ho: 0.668 0.668 0.997
Ho: 0.332 0.332 0.003
Ho: 0.886 0.556 0.339
Ho: 0.219 0.886 0.339
Ho: 0.444 0.781 0.661
In: 0.400 0.060 0.821
In: 0.940 0.281 0.179
In: 0.281 0.600 0.179
In: 0.719 0.400 0.821
In: 0.060 0.719 0.821
In: 0.600 0.940 0.179

For the formation energy, the calculation gives -19.65 kJ per mole of atoms. As for the space group: No. 148. Its crystal system is trigonal. As for the mass density: 7.76 g cm⁻³.


(4)
First-principles (PBE-GGA) data for a geometry-optimized Tl8Cd2In3 structure, as listed in Alexandria.

Cell: 5.870 9.267 9.267 Å, 55.96 76.80 76.80°
Element x y z (fractional)
Tl: 0.995 0.608 0.608
Tl: 0.005 0.392 0.392
Tl: 0.947 0.176 0.176
Tl: 0.053 0.824 0.824
Tl: 0.544 0.582 0.178
Tl: 0.544 0.178 0.582
Tl: 0.456 0.822 0.418
Tl: 0.456 0.418 0.822
Cd: 0.411 0.230 0.230
Cd: 0.589 0.770 0.770
In: 0.500 0.000 0.000
In: 0.000 0.189 0.811
In: 0.000 0.811 0.189

For the formation energy, the calculation gives 7.34 kJ per mole of atoms. As for the space group: No. 12. Its crystal system is monoclinic. As for the mass density: 9.07 g cm⁻³.


(5)
First-principles (PBE-GGA) data for a geometry-optimized Li2PuCu structure, as listed in Alexandria.

Cell: 2.607 2.607 10.109 Å, 82.59 82.59 60.00°
Each line ends with the local moment (μB).
Element x y z (fractional)
Li: 0.095 0.095 0.716  -0.01
Li: 0.905 0.905 0.284  -0.01
Cu: 0.500 0.500 0.500  0.05
Pu: 0.000 0.000 0.000  1.29

For the formation energy, the calculation gives 20.75 kJ per mole of atoms. As for the space group: No. 166. Its crystal system is trigonal. As for the mass density: 9.07 g cm⁻³.


(6)
First-principles (PBE-GGA) data for a geometry-optimized InSnTe4Pb2 structure, as listed in Alexandria.

Cell: 4.520 7.899 7.946 Å, 109.28 90.00 90.00°
Element x y z (fractional)
In: 0.500 0.500 0.000
Sn: 0.000 0.000 0.000
Te: 0.500 0.247 0.241
Te: 0.500 0.753 0.759
Te: 0.000 0.254 0.760
Te: 0.000 0.746 0.240
Pb: 0.500 0.000 0.500
Pb: 0.000 0.500 0.500

The value obtained for the formation energy without anion corrections is -0.33 eV per atom. As for the space group: No. 10. Its crystal system is monoclinic. As for the mass density: 7.18 g cm⁻³.


(7)
First-principles (PBE-GGA) data for a geometry-optimized AcNd2Br structure, as listed in Alexandria.

Cell: 3.712 3.712 9.879 Å, 90.00 90.00 90.00°
Element x y z (fractional)
Ac: 0.500 0.500 0.500
Nd: 0.000 0.000 0.770
Nd: 0.000 0.000 0.230
Br: 0.500 0.500 0.000

The value obtained for the formation energy without anion corrections is -0.44 eV per atom. The excess energy over the best structure of this formula in the dataset comes out at 138.4 meV/atom. As for the space group: No. 123. Its crystal system is tetragonal. As for the mass density: 7.26 g cm⁻³.


(8)
First-principles (PBE-GGA) data for a geometry-optimized TaBePb2 structure, as listed in Alexandria.

Cell: 3.689 3.690 6.057 Å, 90.00 90.00 90.00°
Element x y z (fractional)
Pb: 0.000 0.000 0.994
Pb: 0.000 0.000 0.506
Be: 0.500 0.500 0.750
Ta: 0.500 0.500 0.250

For the formation energy, the calculation gives 70.01 kJ per mole of atoms. As for the space group: No. 123. Its crystal system is tetragonal. As for the mass density: 12.17 g cm⁻³.